The following is a DFT calculation (GGA-PBE) of an optimized crystal structure of KGa2PS6.

Results
E_form (uncorrected), eV/atom: -0.531
Calculated volume, Å³ per cell: 575
Space-group type: No. 15

a b c (Å): 9.470 9.470 7.132
angles (deg): 108.10 108.10 89.48
Sites, in units of the cell vectors:
K 0.078 0.922 0.750
K 0.922 0.078 0.250
Ga 0.216 0.363 0.885
Ga 0.363 0.216 0.385
Ga 0.637 0.784 0.615
Ga 0.784 0.637 0.115
P 0.245 0.755 0.250
P 0.755 0.245 0.750
S 0.047 0.727 0.306
S 0.210 0.338 0.545
S 0.266 0.618 0.972
S 0.273 0.953 0.194
S 0.338 0.210 0.045
S 0.382 0.734 0.528
S 0.618 0.266 0.472
S 0.662 0.790 0.955
S 0.727 0.047 0.806
S 0.734 0.382 0.028
S 0.790 0.662 0.455
S 0.953 0.273 0.694